{"formula": "Pu5Ga4Ag", "functional": "GGA-PBE", "state": "relaxed", "formation_energy_kj_per_mol_atoms": 11, "dos_ef_per_ev_cell": 31.17, "lattice_angstrom": [[3.915, 0.000, 0.000], [0.000, 3.915, 0.000], [0.000, 0.000, 13.345]], "species": ["Pu", "Pu", "Pu", "Pu", "Pu", "Ga", "Ga", "Ga", "Ga", "Ag"], "fractional_positions": [[0.000, 0.000, 0.000], [0.000, 0.000, 0.181], [0.000, 0.000, 0.377], [0.000, 0.000, 0.623], [0.000, 0.000, 0.819], [0.500, 0.500, 0.094], [0.500, 0.500, 0.283], [0.500, 0.500, 0.717], [0.500, 0.500, 0.906], [0.500, 0.500, 0.500]]}


{"formula": "AgTe2Au2", "functional": "GGA-PBE", "state": "relaxed", "relative_energy_mev_per_atom": 0.2, "dos_ef_per_ev_cell": 4.35, "lattice_angstrom": [[7.849, 0.000, 0.000], [0.000, 7.849, 0.000], [0.000, 0.000, 3.958]], "species": ["Ag", "Ag", "Te", "Te", "Te", "Te", "Au", "Au", "Au", "Au"], "fractional_positions": [[0.000, 0.000, 0.000], [0.500, 0.500, 0.000], [0.191, 0.309, 0.000], [0.309, 0.809, 0.000], [0.691, 0.191, 0.000], [0.809, 0.691, 0.000], [0.124, 0.624, 0.500], [0.376, 0.124, 0.500], [0.624, 0.876, 0.500], [0.876, 0.376, 0.500]]}


{"formula": "Li2ZnCd8", "functional": "GGA-PBE", "state": "relaxed", "formation_energy_kj_per_mol_atoms": -8, "dos_ef_per_ev_cell": 2.02, "lattice_angstrom": [[7.660, -2.379, 0.000], [7.660, 2.379, 0.000], [-3.113, 0.000, 6.171]], "species": ["Li", "Li", "Zn", "Cd", "Cd", "Cd", "Cd", "Cd", "Cd", "Cd", "Cd"], "fractional_positions": [[0.192, 0.192, 0.190], [0.808, 0.808, 0.810], [0.500, 0.500, 0.500], [0.000, 0.000, 0.210], [0.000, 0.000, 0.790], [0.168, 0.168, 0.669], [0.357, 0.357, 0.638], [0.358, 0.358, 0.075], [0.642, 0.642, 0.925], [0.643, 0.643, 0.362], [0.832, 0.832, 0.331]]}